Entry 1
# CaTl3In (PBE-GGA, optimized geometry)
# Fermi-level density of states	0.656	states/eV per atom
data_CaTl3In
_space_group_name_H-M_alt 'P m -3 m'
_space_group_IT_number 221
_space_group_name_Hall '-P 4 2 3'
_cell_length_a 5.9407
_cell_length_b 5.9407
_cell_length_c 5.9407
_cell_angle_alpha 90.00
_cell_angle_beta 90.00
_cell_angle_gamma 90.00
loop_
_atom_site_label
_atom_site_type_symbol
_atom_site_fract_x
_atom_site_fract_y
_atom_site_fract_z
Ca1 Ca 0.0000 0.0000 0.0000
Tl1 Tl 0.0000 0.0000 0.5000
In1 In 0.5000 0.5000 0.5000



Entry 2
# CaTl3In (PBE-GGA, optimized geometry)
# Fermi-level density of states	0.679	states/eV per atom
data_CaTl3In
_space_group_name_H-M_alt 'P m -3 m'
_space_group_IT_number 221
_space_group_name_Hall '-P 4 2 3'
_cell_length_a 5.7489
_cell_length_b 5.7489
_cell_length_c 5.7489
_cell_angle_alpha 90.00
_cell_angle_beta 90.00
_cell_angle_gamma 90.00
loop_
_atom_site_label
_atom_site_type_symbol
_atom_site_fract_x
_atom_site_fract_y
_atom_site_fract_z
Ca1 Ca 0.0000 0.0000 0.0000
Tl1 Tl 0.0000 0.5000 0.5000
In1 In 0.5000 0.5000 0.5000



Verdict on stability: entry 1 comes out at the bottom.